TaCr2AgO | the Alexandria database | PBE with a Hubbard U | optimized geometry; DOS at the Fermi energy = 0.84 states/eV/atom; total magnetic moment = 6.595 μB/f.u.; SG = P4/mmm, No. 123; total energy = -28.006 eV for the cell shown
1.0
5.137 0.000 0.000
0.000 5.137 0.000
0.000 0.000 3.849
Ta Cr Ag O
1 2 1 1
Cartesian
0.000 0.000 0.000
0.000 2.568 1.924
2.568 0.000 1.924
2.568 2.568 1.924
2.568 2.568 0.000